{"formula": "TbAl2AgAu4", "functional": "PBE-GGA", "state": "relaxed", "m_tot_mub_per_fu": 0.0, "e_form_ev_per_atom": -0.45, "vol_a3_per_cell": 153.9, "lattice": [[4.4877, 0.0000, 0.0000], [2.2438, 3.8864, 0.0000], [2.2438, 1.2955, 8.8227]], "species": ["Tb", "Al", "Al", "Ag", "Au", "Au", "Au", "Au"], "fractional_positions": [[0.0000, 0.0000, 0.0000], [0.7586, 0.7586, 0.7243], [0.2414, 0.2414, 0.2757], [0.5000, 0.5000, 0.5000], [0.3922, 0.3922, 0.8233], [0.8779, 0.8779, 0.3662], [0.1221, 0.1221, 0.6338], [0.6078, 0.6078, 0.1767]]}